# 1
This record from the Alexandria database describes crystalline PmTeSe at its relaxed geometry. The functional is PBE.

abc: 4.2329 5.9085 8.0329
angles: 111.58 105.28 90.00
Atoms (fractional coordinates):
Pm 0.1548 0.6548 0.3097
Pm 0.8452 0.3452 0.6903
Te 0.5000 0.2494 0.0000
Te 0.5000 0.7506 0.0000
Se 0.2096 0.2096 0.4192
Se 0.7904 0.7904 0.5808

Crystal system: orthorhombic
Total DFT energy (no corrections) (eV/atom): -5.244
Total magnetization (μB/cell): 0.00



# 2
This record from the Alexandria database describes crystalline Li2YPbSe at its relaxed geometry. The functional is PBE.

abc: 4.7310 4.7310 5.6015
angles: 90.00 90.00 90.00
Atoms (fractional coordinates):
Pb 0.5000 0.5000 0.5000
Se 0.0000 0.0000 0.0000
Li 0.0000 0.5000 0.0000
Li 0.5000 0.0000 0.0000
Y 0.0000 0.0000 0.5000

Crystal system: tetragonal
Total DFT energy (no corrections) (eV/atom): -4.253
Total magnetization (μB/cell): 0.00